No. 1
Density functional theory data (GGA-PBE) for a geometry-optimized ThNiTe structure.

Calculated values
Density = 8.8 g cm⁻³
Formation energy (no corrections) = -554 meV/atom
ΔE to the lowest computed polymorph = 0.262 eV/atom
Fermi-level density of states = 2.4 states/eV/f.u.
Crystal system = tetragonal

Geometry as POSCAR:
```
ThNiTe
1.0
8.684 0.000 0.000
0.000 8.684 0.000
0.000 0.000 4.180
Th Ni Te
4 4 4
Direct
0.058 0.713 0.000 Th
0.287 0.058 0.500 Th
0.713 0.942 0.500 Th
0.942 0.287 0.000 Th
0.264 0.731 0.500 Ni
0.269 0.264 0.000 Ni
0.731 0.736 0.000 Ni
0.736 0.269 0.500 Ni
0.208 0.435 0.500 Te
0.435 0.792 0.000 Te
0.565 0.208 0.000 Te
0.792 0.565 0.500 Te
```

No. 2
Density functional theory data (GGA-PBE) for a geometry-optimized Cu2AgN2 structure.

Calculated values
Density = 7.1 g cm⁻³
Formation energy (no corrections) = 916 meV/atom
ΔE to the lowest computed polymorph = 0.000 eV/atom
Fermi-level density of states = 2.0 states/eV/f.u.
Crystal system = tetragonal

Geometry as POSCAR:
```
Cu2AgN2
1.0
-1.933 1.933 4.141
1.933 -1.933 4.141
1.933 1.933 -4.141
Cu Ag N
2 1 2
Direct
0.250 0.750 0.500 Cu
0.750 0.250 0.500 Cu
0.000 0.000 0.000 Ag
0.426 0.426 0.000 N
0.574 0.574 0.000 N
```